<P>
# PrYPt2 PBE-GGA optimized geometry
data_PrYPt2
_chemical_formula_sum 'Pr2 Y2 Pt4'
_symmetry_space_group_name_H-M 'P m n 21'
_symmetry_Int_Tables_number 31
_cell_length_a 4.582
_cell_length_b 7.260
_cell_length_c 5.654
_cell_angle_alpha 90.00
_cell_angle_beta 90.00
_cell_angle_gamma 90.00
loop_
_symmetry_equiv_pos_as_xyz
'x,y,z'
'-x+1/2,-y,z+1/2'
'-x,y,z'
'x+1/2,-y,z+1/2'
loop_
_atom_site_label
_atom_site_type_symbol
_atom_site_fract_x
_atom_site_fract_y
_atom_site_fract_z
Pr1 Pr 0.000 0.070 0.000
Y1 Y 0.000 0.566 0.220
Pt1 Pt 0.000 0.220 0.514
Pt2 Pt 0.000 0.693 0.707
# V ... 188.1 Å³/cell
# Crystal system ... orthorhombic

<Q>
# PrYPt2 PBE-GGA optimized geometry
data_PrYPt2
_chemical_formula_sum 'Pr2 Y2 Pt4'
_symmetry_space_group_name_H-M 'P m c 21'
_symmetry_Int_Tables_number 26
_cell_length_a 4.589
_cell_length_b 5.674
_cell_length_c 7.237
_cell_angle_alpha 90.00
_cell_angle_beta 90.00
_cell_angle_gamma 90.00
loop_
_symmetry_equiv_pos_as_xyz
'x,y,z'
'-x,-y,z+1/2'
'-x,y,z'
'x,-y,z+1/2'
loop_
_atom_site_label
_atom_site_type_symbol
_atom_site_fract_x
_atom_site_fract_y
_atom_site_fract_z
Pr1 Pr 0.000 0.111 0.000
Y1 Y 0.500 0.391 0.635
Pt1 Pt 0.000 0.407 0.363
Pt2 Pt 0.500 0.101 0.276
# V ... 188.4 Å³/cell
# Crystal system ... orthorhombic

So which one wins? Going from most stable to least: <P>, <Q>.

<P>
# TmZrNO PBE-GGA optimized geometry
data_TmZrNO
_chemical_formula_sum 'Tm2 Zr2 N2 O2'
_symmetry_space_group_name_H-M 'P m c 21'
_symmetry_Int_Tables_number 26
_cell_length_a 3.550
_cell_length_b 6.186
_cell_length_c 5.809
_cell_angle_alpha 90.00
_cell_angle_beta 90.00
_cell_angle_gamma 90.00
loop_
_symmetry_equiv_pos_as_xyz
'x,y,z'
'-x,-y,z+1/2'
'-x,y,z'
'x,-y,z+1/2'
loop_
_atom_site_label
_atom_site_type_symbol
_atom_site_fract_x
_atom_site_fract_y
_atom_site_fract_z
Tm1 Tm 0.000 0.174 0.000
Zr1 Zr 0.500 0.365 0.455
N1 N 0.000 0.175 0.406
O1 O 0.500 0.289 0.827
# V ... 127.6 Å³/cell
# Crystal system ... orthorhombic

<Q>
# TmZrNO PBE-GGA optimized geometry
data_TmZrNO
_chemical_formula_sum 'Tm4 Zr4 N4 O4'
_symmetry_space_group_name_H-M 'P b c m'
_symmetry_Int_Tables_number 57
_cell_length_a 7.837
_cell_length_b 6.480
_cell_length_c 4.644
_cell_angle_alpha 90.00
_cell_angle_beta 90.00
_cell_angle_gamma 90.00
loop_
_symmetry_equiv_pos_as_xyz
'x,y,z'
'-x,-y,-z'
'-x,-y,z+1/2'
'x,y,-z+1/2'
'x,-y+1/2,-z'
'-x,y+1/2,z'
'-x,y+1/2,-z+1/2'
'x,-y+1/2,z+1/2'
loop_
_atom_site_label
_atom_site_type_symbol
_atom_site_fract_x
_atom_site_fract_y
_atom_site_fract_z
Tm1 Tm 0.124 0.058 0.250
Zr1 Zr 0.374 0.593 0.250
N1 N 0.388 0.570 0.750
O1 O 0.140 0.099 0.750
# V ... 235.8 Å³/cell
# Crystal system ... orthorhombic

So which one wins? Going from most stable to least: <Q>, <P>.

<P>
# Cu7Ag PBE-GGA optimized geometry
data_Cu7Ag
_chemical_formula_sum 'Cu28 Ag4'
_symmetry_space_group_name_H-M 'F m -3 m'
_symmetry_Int_Tables_number 225
_symmetry_space_group_name_Hall '-F 4 2 3'
_cell_length_a 7.385
_cell_length_b 7.385
_cell_length_c 7.385
_cell_angle_alpha 90.00
_cell_angle_beta 90.00
_cell_angle_gamma 90.00
loop_
_atom_site_label
_atom_site_type_symbol
_atom_site_fract_x
_atom_site_fract_y
_atom_site_fract_z
Cu1 Cu 0.000 0.000 0.000
Cu2 Cu 0.000 0.250 0.250
Ag1 Ag 0.000 0.000 0.500
# V ... 402.7 Å³/cell
# Crystal system ... cubic

<Q>
# Cu7Ag PBE-GGA optimized geometry
data_Cu7Ag
_chemical_formula_sum 'Cu28 Ag4'
_symmetry_space_group_name_H-M 'F m m m'
_symmetry_Int_Tables_number 69
_symmetry_space_group_name_Hall '-F 2 2'
_cell_length_a 5.233
_cell_length_b 7.357
_cell_length_c 10.457
_cell_angle_alpha 90.00
_cell_angle_beta 90.00
_cell_angle_gamma 90.00
loop_
_atom_site_label
_atom_site_type_symbol
_atom_site_fract_x
_atom_site_fract_y
_atom_site_fract_z
Cu1 Cu 0.000 0.000 0.000
Cu2 Cu 0.000 0.000 0.244
Cu3 Cu 0.250 0.250 0.130
Ag1 Ag 0.000 0.000 0.500
# V ... 402.6 Å³/cell
# Crystal system ... orthorhombic

So which one wins? Going from most stable to least: <Q>, <P>.

<P>
# Au2SeO PBE-GGA optimized geometry
data_Au2SeO
_chemical_formula_sum 'Au4 Se2 O2'
_symmetry_space_group_name_H-M 'P m c 21'
_symmetry_Int_Tables_number 26
_cell_length_a 3.551
_cell_length_b 7.865
_cell_length_c 5.414
_cell_angle_alpha 90.00
_cell_angle_beta 90.00
_cell_angle_gamma 90.00
loop_
_symmetry_equiv_pos_as_xyz
'x,y,z'
'-x,-y,z+1/2'
'-x,y,z'
'x,-y,z+1/2'
loop_
_atom_site_label
_atom_site_type_symbol
_atom_site_fract_x
_atom_site_fract_y
_atom_site_fract_z
Au1 Au 0.000 0.106 0.000
Au2 Au 0.500 0.339 0.499
Se1 Se 0.500 0.340 0.999
O1 O 0.000 0.159 0.501
# V ... 151.2 Å³/cell
# Crystal system ... orthorhombic

<Q>
# Au2SeO PBE-GGA optimized geometry
data_Au2SeO
_chemical_formula_sum 'Au8 Se4 O4'
_symmetry_space_group_name_H-M 'P 1 21 1'
_symmetry_Int_Tables_number 4
_cell_length_a 5.676
_cell_length_b 5.929
_cell_length_c 11.136
_cell_angle_alpha 90.00
_cell_angle_beta 90.38
_cell_angle_gamma 90.00
loop_
_symmetry_equiv_pos_as_xyz
'x,y,z'
'-x,y+1/2,-z'
loop_
_atom_site_label
_atom_site_type_symbol
_atom_site_fract_x
_atom_site_fract_y
_atom_site_fract_z
Au1 Au 0.012 0.000 0.016
Au2 Au 0.024 0.884 0.695
Au3 Au 0.409 0.177 0.503
Au4 Au 0.412 0.458 0.151
Se1 Se 0.327 0.143 0.289
Se2 Se 0.327 0.174 0.718
O1 O 0.242 0.265 0.008
O2 O 0.244 0.735 0.012
# V ... 374.8 Å³/cell
# Crystal system ... monoclinic

So which one wins? Going from most stable to least: <Q>, <P>.